[1]
{
  "formula": "Ba2NaCaNi",
  "functional": "GGA-PBE",
  "state": "relaxed",
  "ef_ev_per_atom": -0.009,
  "dft_energy_ha_per_atom": -0.095,
  "total_magnetization_mub_per_atom": 0.000,
  "cell": [[-0.471, 1.093, 6.031], [-2.908, -5.365, 0.745], [4.993, -2.588, 0.859]],
  "species": ["Ni", "Ca", "Ba", "Ba", "Na"],
  "fractional_positions": [[0.000, 0.000, 0.000], [0.000, 0.000, 0.500], [0.000, 0.500, 0.000], [0.500, 0.000, 0.000], [0.500, 0.500, 0.500]]
}

[2]
{
  "formula": "Ba2MgGaH",
  "functional": "GGA-PBE",
  "state": "relaxed",
  "dft_energy_ha_per_atom": -0.095,
  "e_above_lowest_polymorph_ev_per_atom": 0.000,
  "total_magnetization_mub_per_atom": 0.000,
  "cell": [[5.651, 0.000, 0.000], [0.000, 5.651, 0.000], [0.000, 0.000, 4.496]],
  "species": ["H", "Mg", "Ba", "Ba", "Ga"],
  "fractional_positions": [[0.000, 0.000, 0.000], [0.000, 0.000, 0.500], [0.000, 0.500, 0.000], [0.500, 0.000, 0.000], [0.500, 0.500, 0.500]]
}

[3]
{
  "formula": "ScSbP2C",
  "functional": "GGA-PBE",
  "state": "relaxed",
  "raw_formation_energy_ev_per_atom": 1.0344,
  "dft_energy_ha_per_atom": -0.186,
  "total_magnetization_mub_per_atom": 0.000,
  "cell": [[5.002, 0.000, 0.000], [0.000, 5.002, 0.000], [0.000, 0.000, 4.193]],
  "species": ["Sc", "Sb", "C", "P", "P"],
  "fractional_positions": [[0.000, 0.000, 0.000], [0.500, 0.500, 0.500], [0.000, 0.000, 0.500], [0.000, 0.500, 0.000], [0.500, 0.000, 0.000]]
}

[4]
{
  "formula": "Cr2ReTe",
  "functional": "GGA-PBE",
  "state": "relaxed",
  "raw_formation_energy_ev_per_atom": 0.4893,
  "dft_energy_ha_per_atom": -0.302,
  "total_magnetization_mub_per_atom": 0.000,
  "cell": [[-2.736, 0.054, -1.371], [1.286, -0.965, -2.604], [-0.997, -6.052, 1.750]],
  "species": ["Cr", "Cr", "Re", "Te"],
  "fractional_positions": [[0.000, 0.000, 0.024], [0.500, 0.500, 0.240], [0.000, 0.000, 0.467], [0.500, 0.500, 0.769]]
}